(1)
First-principles (PBE) data for a relaxed Rb4Nd3NpSe8 crystal, as listed in the Alexandria database.

* raw total energy: -5.29 eV per atom
* N(E_F): 9.05 states/eV per cell
* space-group type: R-3m
* M_tot: 4.0 μB per cell

Cell lengths 8.741, 9.474, 8.742 Å; angles 117.51, 120.00, 90.00 degrees
Sites, in units of the cell vectors:
Rb 0.500 0.000 0.000
Rb 0.500 0.000 0.500
Rb 0.000 0.000 0.000
Rb 0.000 0.000 0.500
Nd 0.500 0.500 0.000
Nd 0.500 0.500 0.500
Nd 0.000 0.500 0.500
Np 0.000 0.500 0.000
Se 0.231 0.699 0.968
Se 0.231 0.699 0.463
Se 0.266 0.298 0.532
Se 0.737 0.699 0.968
Se 0.263 0.301 0.032
Se 0.734 0.702 0.468
Se 0.769 0.301 0.537
Se 0.769 0.301 0.032



(2)
First-principles (PBE) data for a relaxed Rb2NdNp2Se6 crystal, as listed in the Alexandria database.

* raw total energy: -6.26 eV per atom
* N(E_F): 19.20 states/eV per cell
* space-group type: C2/m
* M_tot: 7.0 μB per cell

Cell lengths 7.364, 7.364, 8.514 Å; angles 98.07, 98.07, 120.26 degrees
Sites, in units of the cell vectors:
Rb 0.835 0.165 0.000
Rb 0.165 0.835 0.000
Nd 0.000 0.000 0.500
Np 0.334 0.666 0.500
Np 0.666 0.334 0.500
Se 0.719 0.719 0.693
Se 0.061 0.406 0.691
Se 0.281 0.281 0.307
Se 0.406 0.061 0.691
Se 0.939 0.594 0.309
Se 0.594 0.939 0.309



(3)
First-principles (PBE) data for a relaxed Rb3NdNp3Se8 crystal, as listed in the Alexandria database.

* raw total energy: -6.32 eV per atom
* N(E_F): 29.95 states/eV per cell
* space-group type: C2/m
* M_tot: 11.0 μB per cell

Cell lengths 8.527, 8.523, 9.463 Å; angles 116.72, 90.02, 120.02 degrees
Sites, in units of the cell vectors:
Rb 0.000 0.000 0.000
Rb 0.000 0.500 0.000
Rb 0.500 0.500 0.000
Nd 0.000 0.000 0.500
Np 0.500 0.000 0.500
Np 0.500 0.500 0.500
Np 0.000 0.500 0.500
Se 0.269 0.538 0.307
Se 0.731 0.462 0.693
Se 0.764 0.529 0.306
Se 0.236 0.471 0.694
Se 0.764 0.042 0.306
Se 0.236 0.958 0.694
Se 0.278 0.042 0.306
Se 0.722 0.958 0.694



(4)
First-principles (PBE) data for a relaxed Rb4Nd3NpTe8 crystal, as listed in the Alexandria database.

* raw total energy: -4.79 eV per atom
* N(E_F): 5.64 states/eV per cell
* space-group type: R-3m
* M_tot: 4.0 μB per cell

Cell lengths 9.290, 10.104, 9.290 Å; angles 117.34, 120.00, 90.00 degrees
Sites, in units of the cell vectors:
Rb 0.500 0.000 0.000
Rb 0.500 0.000 0.500
Rb 0.000 0.000 0.000
Rb 0.000 0.000 0.500
Nd 0.500 0.500 0.000
Nd 0.500 0.500 0.500
Nd 0.000 0.500 0.500
Np 0.000 0.500 0.000
Te 0.233 0.703 0.970
Te 0.233 0.704 0.466
Te 0.265 0.294 0.529
Te 0.737 0.703 0.970
Te 0.263 0.297 0.030
Te 0.735 0.706 0.471
Te 0.767 0.296 0.534
Te 0.767 0.297 0.030



(5)
First-principles (PBE) data for a relaxed Rb3Nd3NpTe8 crystal, as listed in the Alexandria database.

* raw total energy: -4.92 eV per atom
* N(E_F): 3.53 states/eV per cell
* space-group type: R-3m
* M_tot: 3.0 μB per cell

Cell lengths 9.164, 9.163, 10.212 Å; angles 116.67, 90.00, 120.00 degrees
Sites, in units of the cell vectors:
Rb 0.000 0.000 0.000
Rb 0.000 0.500 0.000
Rb 0.500 0.500 0.000
Nd 0.500 0.000 0.500
Nd 0.500 0.500 0.500
Nd 0.000 0.500 0.500
Np 0.000 0.000 0.500
Te 0.265 0.530 0.295
Te 0.735 0.470 0.705
Te 0.772 0.544 0.302
Te 0.228 0.456 0.698
Te 0.772 0.030 0.302
Te 0.228 0.970 0.698
Te 0.258 0.030 0.302
Te 0.742 0.970 0.698



(6)
First-principles (PBE) data for a relaxed Rb3NdNp3Te8 crystal, as listed in the Alexandria database.

* raw total energy: -5.73 eV per atom
* N(E_F): 21.63 states/eV per cell
* space-group type: C2/m
* M_tot: 3.7 μB per cell

Cell lengths 9.105, 9.106, 10.127 Å; angles 116.83, 89.91, 119.98 degrees
Sites, in units of the cell vectors:
Rb 0.000 0.000 0.000
Rb 0.000 0.500 0.000
Rb 0.500 0.500 0.000
Nd 0.000 0.000 0.500
Np 0.500 0.000 0.500
Np 0.500 0.500 0.500
Np 0.000 0.500 0.500
Te 0.267 0.534 0.300
Te 0.733 0.466 0.700
Te 0.762 0.525 0.299
Te 0.238 0.475 0.701
Te 0.763 0.038 0.301
Te 0.237 0.962 0.699
Te 0.274 0.037 0.299
Te 0.726 0.963 0.701



(7)
First-principles (PBE) data for a relaxed Rb2NdNpTe4 crystal, as listed in the Alexandria database.

* raw total energy: -5.16 eV per atom
* N(E_F): 6.98 states/eV per cell
* space-group type: P2/m
* M_tot: 4.0 μB per cell

Cell lengths 4.630, 8.038, 8.945 Å; angles 107.41, 90.00, 90.00 degrees
Sites, in units of the cell vectors:
Rb 0.500 0.000 0.500
Rb 0.000 0.500 0.500
Nd 0.500 0.500 0.000
Np 0.000 0.000 0.000
Te 0.500 0.230 0.201
Te 0.500 0.770 0.799
Te 0.000 0.263 0.796
Te 0.000 0.737 0.204



(8)
First-principles (PBE) data for a relaxed Rb4NdNp3Te8 crystal, as listed in the Alexandria database.

* raw total energy: -5.55 eV per atom
* N(E_F): 26.25 states/eV per cell
* space-group type: R-3m
* M_tot: 12.0 μB per cell

Cell lengths 9.235, 10.060, 9.235 Å; angles 117.33, 120.00, 90.00 degrees
Sites, in units of the cell vectors:
Rb 0.500 0.000 0.000
Rb 0.500 0.000 0.500
Rb 0.000 0.000 0.000
Rb 0.000 0.000 0.500
Nd 0.000 0.500 0.000
Np 0.500 0.500 0.000
Np 0.500 0.500 0.500
Np 0.000 0.500 0.500
Te 0.236 0.702 0.967
Te 0.236 0.702 0.472
Te 0.267 0.302 0.534
Te 0.731 0.702 0.967
Te 0.269 0.298 0.033
Te 0.733 0.698 0.466
Te 0.764 0.298 0.528
Te 0.764 0.298 0.033



(9)
First-principles (PBE) data for a relaxed NdNpRe4 crystal, as listed in the Alexandria database.

* raw total energy: -11.09 eV per atom
* energy relative to the elements: 0.158 eV/atom
* N(E_F): 13.93 states/eV per cell
* space-group type: F-43m
* M_tot: 4.9 μB per cell

Cell lengths 5.456, 5.456, 5.456 Å; angles 60.00, 60.00, 60.00 degrees
Sites, in units of the cell vectors:
Np 0.250 0.250 0.250
Re 0.625 0.625 0.125
Re 0.625 0.125 0.625
Re 0.625 0.625 0.625
Re 0.125 0.625 0.625
Nd 0.000 0.000 0.000



(10)
First-principles (PBE) data for a relaxed NdNpRh2 crystal, as listed in the Alexandria database.

* raw total energy: -8.51 eV per atom
* energy relative to the elements: -0.407 eV/atom
* N(E_F): 8.29 states/eV per cell
* space-group type: P4/mmm
* M_tot: 3.3 μB per cell

Cell lengths 3.433, 3.433, 7.154 Å; angles 90.00, 90.00, 90.00 degrees
Sites, in units of the cell vectors:
Np 0.500 0.500 0.000
Rh 0.000 0.000 0.784
Rh 0.000 0.000 0.216
Nd 0.500 0.500 0.500



(11)
First-principles (PBE) data for a relaxed NdNpRh4 crystal, as listed in the Alexandria database.

* raw total energy: -8.31 eV per atom
* offset from the most stable computed form: 0.000 eV per atom
* energy relative to the elements: -0.461 eV/atom
* N(E_F): 10.53 states/eV per cell
* space-group type: F-43m
* M_tot: 3.6 μB per cell

Cell lengths 5.366, 5.366, 5.366 Å; angles 60.00, 60.00, 60.00 degrees
Sites, in units of the cell vectors:
Np 0.000 0.000 0.000
Rh 0.625 0.625 0.124
Rh 0.625 0.124 0.625
Rh 0.625 0.625 0.625
Rh 0.124 0.625 0.625
Nd 0.250 0.250 0.250



(12)
First-principles (PBE) data for a relaxed NdNpRh3 crystal, as listed in the Alexandria database.

* raw total energy: -8.28 eV per atom
* energy relative to the elements: -0.323 eV/atom
* N(E_F): 12.65 states/eV per cell
* space-group type: P6_3/mmc
* M_tot: 4.6 μB per cell

Cell lengths 6.367, 6.230, 6.228 Å; angles 120.00, 90.00, 90.00 degrees
Sites, in units of the cell vectors:
Nd 0.750 0.667 0.333
Nd 0.250 0.333 0.667
Np 0.000 0.000 0.000
Np 0.500 0.000 0.000
Rh 0.750 0.619 0.810
Rh 0.250 0.809 0.619
Rh 0.250 0.381 0.190
Rh 0.750 0.191 0.381
Rh 0.250 0.809 0.190
Rh 0.750 0.191 0.810



> The lowest M_tot belongs to which entry?

Rb3Nd3NpTe8



Copy entry 4 word for word.
First-principles (PBE) data for a relaxed Rb4Nd3NpTe8 crystal, as listed in the Alexandria database.

* raw total energy: -4.79 eV per atom
* N(E_F): 5.64 states/eV per cell
* space-group type: R-3m
* M_tot: 4.0 μB per cell

Cell lengths 9.290, 10.104, 9.290 Å; angles 117.34, 120.00, 90.00 degrees
Sites, in units of the cell vectors:
Rb 0.500 0.000 0.000
Rb 0.500 0.000 0.500
Rb 0.000 0.000 0.000
Rb 0.000 0.000 0.500
Nd 0.500 0.500 0.000
Nd 0.500 0.500 0.500
Nd 0.000 0.500 0.500
Np 0.000 0.500 0.000
Te 0.233 0.703 0.970
Te 0.233 0.704 0.466
Te 0.265 0.294 0.529
Te 0.737 0.703 0.970
Te 0.263 0.297 0.030
Te 0.735 0.706 0.471
Te 0.767 0.296 0.534
Te 0.767 0.297 0.030



> The highest N(E_F) belongs to which entry?

Rb3NdNp3Se8



> What is the formula in the seventh record?

Rb2NdNpTe4